The following is a PBE calculation of a geometry-optimized La2Sb3IrRh4 structure, from Alexandria via LeMat-Bulk.

Raw formation energy, meV/atom: -711

a = 4.4424 Å, b = 4.4424 Å, c = 10.7715 Å
α = 90.00°, β = 90.00°, γ = 90.00°
Last column: nearest neighbours and their distance in Å.
Atoms (fractional coordinates):
La (0.5000, 0.0000, 0.2578)  8 Rh 3.38-3.56, 6 Sb 3.42-3.43, 2 Ir 3.43
La (0.0000, 0.5000, 0.7422)  8 Rh 3.38-3.56, 6 Sb 3.42-3.43, 2 Ir 3.43
Sb (0.0000, 0.0000, 0.5000)  4 Rh 2.61
Sb (0.5000, 0.0000, 0.8669)  5 Rh 2.58-2.64
Sb (0.0000, 0.5000, 0.1331)  5 Rh 2.58-2.64
Ir (0.5000, 0.5000, 0.5000)  4 Rh 2.61
Rh (0.5000, 0.5000, 0.0000)  4 Sb 2.64
Rh (0.0000, 0.0000, 0.0000)  4 Sb 2.64
Rh (0.5000, 0.0000, 0.6274)  3 Sb 2.58-2.61, 2 Ir 2.61
Rh (0.0000, 0.5000, 0.3726)  3 Sb 2.58-2.61, 2 Ir 2.61

=====

The following is a PBE calculation of a geometry-optimized Dy3YPd4 structure, from Alexandria via LeMat-Bulk.

E_tot, eV/atom: -6.017

a = 5.0133 Å, b = 6.8733 Å, c = 10.0287 Å
α = 90.00°, β = 90.00°, γ = 90.00°
Last column: nearest neighbours and their distance in Å.
Atoms (fractional coordinates):
Y (0.0000, 0.5000, 0.0000)  8 Pd 3.04-3.05
Y (0.0000, 0.5000, 0.5000)  8 Pd 3.04-3.05
Pd (0.5000, 0.7514, 0.0000)  6 Dy 3.03-3.04, 2 Y 3.04
Pd (0.5000, 0.7514, 0.5000)  6 Dy 3.03-3.04, 2 Y 3.04
Pd (0.5000, 0.2486, 0.0000)  6 Dy 3.03-3.04, 2 Y 3.04
Pd (0.5000, 0.2486, 0.5000)  6 Dy 3.03-3.04, 2 Y 3.04
Pd (0.0010, 0.7515, 0.7500)  6 Dy 3.03-3.05, 2 Y 3.05
Pd (0.9990, 0.7515, 0.2500)  6 Dy 3.03-3.05, 2 Y 3.05
Pd (0.9990, 0.2485, 0.2500)  6 Dy 3.03-3.05, 2 Y 3.05
Pd (0.0010, 0.2485, 0.7500)  6 Dy 3.03-3.05, 2 Y 3.05
Dy (0.0000, 0.0000, 0.0000)  8 Pd 3.03
Dy (0.0000, 0.0000, 0.5000)  8 Pd 3.03
Dy (0.5005, 0.0000, 0.7500)  8 Pd 3.03-3.04
Dy (0.4995, 0.0000, 0.2500)  8 Pd 3.03-3.04
Dy (0.5004, 0.5000, 0.7500)  8 Pd 3.04-3.05
Dy (0.4996, 0.5000, 0.2500)  8 Pd 3.04-3.05

=====

| no. | volume (A^3/atom) |
| --- | --- |
| 1 | 21.26 |
| 2 | 21.60 |